# 1
# Y2Ni3 | Alexandria via LeMat-Bulk | SCAN | PBEsol geometry
# **Calculated volume**: 16.78 A^3/atom
# **Energy of formation**: -398 meV/atom
data_Y2Ni3
_chemical_formula_sum 'Y16 Ni24'
_cell_length_a 8.7615
_cell_length_b 14.8211
_cell_length_c 5.1702
_cell_angle_alpha 90.00
_cell_angle_beta 90.00
_cell_angle_gamma 90.00
_symmetry_space_group_name_H-M 'F d d 2'
_symmetry_Int_Tables_number 43
_symmetry_space_group_name_Hall 'F 2 -2d'
loop_
_atom_site_label
_atom_site_type_symbol
_atom_site_fract_x
_atom_site_fract_y
_atom_site_fract_z
Y1 Y 0.0793 0.2019 0.0000
Ni1 Ni 0.0000 0.0000 0.2338
Ni2 Ni 0.0744 0.1259 0.4949

***

# 2
# Y15Ni32 | Alexandria via LeMat-Bulk | SCAN | PBEsol geometry
# **Calculated volume**: 14.85 A^3/atom
# **Energy of formation**: -419 meV/atom
data_Y15Ni32
_chemical_formula_sum 'Y60 Ni128'
_cell_length_a 14.0805
_cell_length_b 14.0805
_cell_length_c 14.0805
_cell_angle_alpha 90.00
_cell_angle_beta 90.00
_cell_angle_gamma 90.00
_symmetry_space_group_name_H-M 'F -4 3 m'
_symmetry_Int_Tables_number 216
_symmetry_space_group_name_Hall 'F -4 2 3'
loop_
_atom_site_label
_atom_site_type_symbol
_atom_site_fract_x
_atom_site_fract_y
_atom_site_fract_z
Y1 Y 0.0000 0.0000 0.0000
Y2 Y 0.0127 0.2500 0.2500
Y3 Y 0.0992 0.0992 0.4008
Y4 Y 0.1268 0.1268 0.8732
Ni1 Ni 0.0624 0.0624 0.1876
Ni2 Ni 0.0665 0.0665 0.6926
Ni3 Ni 0.1883 0.1883 0.1883
Ni4 Ni 0.1883 0.1883 0.6883

***

# 3
# YNi | Alexandria via LeMat-Bulk | SCAN | PBEsol geometry
# **Calculated volume**: 21.41 A^3/atom
# **Energy of formation**: 24 meV/atom
data_YNi
_chemical_formula_sum 'Y2 Ni2'
_cell_length_a 3.6046
_cell_length_b 3.6046
_cell_length_c 7.6103
_cell_angle_alpha 90.00
_cell_angle_beta 90.00
_cell_angle_gamma 120.00
_symmetry_space_group_name_H-M 'P -3 m 1'
_symmetry_Int_Tables_number 164
_symmetry_space_group_name_Hall '-P 3 2"'
loop_
_atom_site_label
_atom_site_type_symbol
_atom_site_fract_x
_atom_site_fract_y
_atom_site_fract_z
Y1 Y 0.3333 0.6667 0.2989
Ni1 Ni 0.3333 0.6667 0.9259

***

# 4
# Y2Ni7 | Alexandria via LeMat-Bulk | SCAN | PBEsol geometry
# **Calculated volume**: 13.50 A^3/atom
# **Energy of formation**: -366 meV/atom
data_Y2Ni7
_chemical_formula_sum 'Y12 Ni42'
_cell_length_a 4.8593
_cell_length_b 4.8593
_cell_length_c 35.6511
_cell_angle_alpha 90.00
_cell_angle_beta 90.00
_cell_angle_gamma 120.00
_symmetry_space_group_name_H-M 'R -3 m'
_symmetry_Int_Tables_number 166
_symmetry_space_group_name_Hall '-R 3 2"'
loop_
_atom_site_label
_atom_site_type_symbol
_atom_site_fract_x
_atom_site_fract_y
_atom_site_fract_z
Y1 Y 0.0000 0.0000 0.0506
Y2 Y 0.0000 0.0000 0.1471
Ni1 Ni 0.0000 0.0000 0.2782
Ni2 Ni 0.0000 0.0000 0.3882
Ni3 Ni 0.0000 0.0000 0.5000
Ni4 Ni 0.0000 0.5000 0.0000
Ni5 Ni 0.0007 0.5004 0.8904

***

# 5
# YNi13 | Alexandria via LeMat-Bulk | SCAN | PBEsol geometry
# **Calculated volume**: 11.90 A^3/atom
# **Energy of formation**: -81 meV/atom
data_YNi13
_chemical_formula_sum 'Y8 Ni104'
_cell_length_a 11.0063
_cell_length_b 11.0063
_cell_length_c 11.0063
_cell_angle_alpha 90.00
_cell_angle_beta 90.00
_cell_angle_gamma 90.00
_symmetry_space_group_name_H-M 'F m -3 c'
_symmetry_Int_Tables_number 226
_symmetry_space_group_name_Hall '-F 4a 2 3'
loop_
_atom_site_label
_atom_site_type_symbol
_atom_site_fract_x
_atom_site_fract_y
_atom_site_fract_z
Y1 Y 0.2500 0.2500 0.2500
Ni1 Ni 0.0000 0.0000 0.0000
Ni2 Ni 0.0000 0.1171 0.1800

***

# 6
# Y2Ni7 | Alexandria via LeMat-Bulk | SCAN | PBEsol geometry
# **Calculated volume**: 13.51 A^3/atom
# **Energy of formation**: -365 meV/atom
data_Y2Ni7
_chemical_formula_sum 'Y8 Ni28'
_cell_length_a 4.8588
_cell_length_b 4.8588
_cell_length_c 23.7803
_cell_angle_alpha 90.00
_cell_angle_beta 90.00
_cell_angle_gamma 120.00
_symmetry_space_group_name_H-M 'P 63/m m c'
_symmetry_Int_Tables_number 194
_symmetry_space_group_name_Hall '-P 6c 2c'
loop_
_atom_site_label
_atom_site_type_symbol
_atom_site_fract_x
_atom_site_fract_y
_atom_site_fract_z
Y1 Y 0.3333 0.6667 0.0294
Y2 Y 0.3333 0.6667 0.1742
Ni1 Ni 0.0000 0.0000 0.0000
Ni2 Ni 0.0000 0.0000 0.1677
Ni3 Ni 0.1670 0.3339 0.5857
Ni4 Ni 0.1668 0.3337 0.7500
Ni5 Ni 0.3333 0.6667 0.6674

***

# 7
# Y3Ni4 | Alexandria via LeMat-Bulk | SCAN | PBEsol geometry
# **Calculated volume**: 17.39 A^3/atom
# **Energy of formation**: -327 meV/atom
data_Y3Ni4
_chemical_formula_sum 'Y18 Ni24'
_cell_length_a 12.6074
_cell_length_b 12.6074
_cell_length_c 5.3071
_cell_angle_alpha 90.00
_cell_angle_beta 90.00
_cell_angle_gamma 120.00
_symmetry_space_group_name_H-M 'R -3'
_symmetry_Int_Tables_number 148
_symmetry_space_group_name_Hall '-R 3'
loop_
_atom_site_label
_atom_site_type_symbol
_atom_site_fract_x
_atom_site_fract_y
_atom_site_fract_z
Y1 Y 0.0434 0.8344 0.2407
Ni1 Ni 0.0000 0.0000 0.0000
Ni2 Ni 0.0000 0.0000 0.5000
Ni3 Ni 0.0508 0.6077 0.3957

***

# 8
# YZnNi | Alexandria via LeMat-Bulk | SCAN | PBEsol geometry
# **Calculated volume**: 17.79 A^3/atom
# **Energy of formation**: -434 meV/atom
data_YZnNi
_chemical_formula_sum 'Y1 Zn1 Ni1'
_cell_length_a 4.1623
_cell_length_b 4.1623
_cell_length_c 3.5577
_cell_angle_alpha 90.00
_cell_angle_beta 90.00
_cell_angle_gamma 120.00
_symmetry_space_group_name_H-M 'P -6 m 2'
_symmetry_Int_Tables_number 187
_symmetry_space_group_name_Hall 'P -6 2'
loop_
_atom_site_label
_atom_site_type_symbol
_atom_site_fract_x
_atom_site_fract_y
_atom_site_fract_z
Y1 Y 0.0000 0.0000 0.0000
Zn1 Zn 0.3333 0.6667 0.5000
Ni1 Ni 0.6667 0.3333 0.5000

***

# 9
# YZnNi | Alexandria via LeMat-Bulk | SCAN | PBEsol geometry
# **Calculated volume**: 19.17 A^3/atom
# **Energy of formation**: -265 meV/atom
data_YZnNi
_chemical_formula_sum 'Y4 Zn4 Ni4'
_cell_length_a 6.1270
_cell_length_b 6.1270
_cell_length_c 6.1270
_cell_angle_alpha 90.00
_cell_angle_beta 90.00
_cell_angle_gamma 90.00
_symmetry_space_group_name_H-M 'F -4 3 m'
_symmetry_Int_Tables_number 216
_symmetry_space_group_name_Hall 'F -4 2 3'
loop_
_atom_site_label
_atom_site_type_symbol
_atom_site_fract_x
_atom_site_fract_y
_atom_site_fract_z
Y1 Y 0.0000 0.0000 0.0000
Zn1 Zn 0.0000 0.0000 0.5000
Ni1 Ni 0.2500 0.2500 0.7500

***

# 10
# Y2ZrNi | Alexandria via LeMat-Bulk | SCAN | PBEsol geometry
# **Energy above the most stable polymorph in this dataset**: 0.93 eV/f.u.
# **Calculated volume**: 21.96 A^3/atom
# **Energy of formation**: 230 meV/atom
data_Y2ZrNi
_chemical_formula_sum 'Y4 Zr2 Ni2'
_cell_length_a 4.1472
_cell_length_b 4.1472
_cell_length_c 10.2132
_cell_angle_alpha 90.00
_cell_angle_beta 90.00
_cell_angle_gamma 90.00
_symmetry_space_group_name_H-M 'I -4 m 2'
_symmetry_Int_Tables_number 119
_symmetry_space_group_name_Hall 'I -4 -2'
loop_
_atom_site_label
_atom_site_type_symbol
_atom_site_fract_x
_atom_site_fract_y
_atom_site_fract_z
Y1 Y 0.0000 0.0000 0.0000
Y2 Y 0.0000 0.5000 0.2500
Zr1 Zr 0.0000 0.0000 0.5000
Ni1 Ni 0.0000 0.5000 0.7500